Entry 1:
{"formula": "SiHBr2N", "functional": "meta-GGA SCAN", "state": "single point on PBEsol structure", "lattice_angstrom": [[4.9290, 0.0000, 0.0000], [0.0000, 4.9290, 0.0000], [0.0000, 0.0000, 3.0249]], "species": ["Si", "H", "Br", "Br", "N"], "fractional_positions": [[0.0000, 0.0000, 0.0000], [0.5000, 0.5000, 0.0000], [0.0000, 0.5000, 0.5000], [0.5000, 0.0000, 0.5000], [0.5000, 0.5000, 0.5000]], "dos_ef_per_ev_cell": 1.558, "sg": "No. 123", "total_magnetization_mub_per_fu": 0.0, "final_energy_ha_per_atom": -0.4116}


Entry 2:
{"formula": "Na2HBr", "functional": "meta-GGA SCAN", "state": "single point on PBEsol structure", "lattice_angstrom": [[-3.3057, 3.3057, 3.9111], [3.3057, -3.3057, 3.9111], [3.3057, 3.3057, -3.9111]], "species": ["Na", "Na", "Na", "Na", "H", "H", "Br", "Br"], "fractional_positions": [[0.0463, 0.6250, 0.9213], [0.3750, 0.2963, 0.4213], [0.7037, 0.1250, 0.0787], [0.8750, 0.9537, 0.5787], [0.0000, 0.0000, 0.0000], [0.7500, 0.2500, 0.5000], [0.2500, 0.7500, 0.5000], [0.5000, 0.5000, 0.0000]], "dos_ef_per_ev_cell": 0.000, "sg": "No. 122", "de_polymorph_ev_per_fu": 0.00, "total_magnetization_mub_per_fu": 0.0, "final_energy_ha_per_atom": -0.3229}


Entry 3:
{"formula": "Na2HBr", "functional": "meta-GGA SCAN", "state": "single point on PBEsol structure", "lattice_angstrom": [[0.0000, 3.4007, 3.4007], [3.4007, 0.0000, 3.4007], [3.4007, 3.4007, 0.0000]], "species": ["Na", "Na", "H", "Br"], "fractional_positions": [[0.2500, 0.2500, 0.2500], [0.7500, 0.7500, 0.7500], [0.0000, 0.0000, 0.0000], [0.5000, 0.5000, 0.5000]], "dos_ef_per_ev_cell": 0.000, "sg": "No. 225", "de_polymorph_ev_per_fu": 0.63, "total_magnetization_mub_per_fu": 0.0, "final_energy_ha_per_atom": -0.3171}


Entry 4:
{"formula": "Na5H4BrO4", "functional": "meta-GGA SCAN", "state": "single point on PBEsol structure", "lattice_angstrom": [[11.6080, 0.0000, 0.0000], [0.0000, 18.4304, 0.0000], [0.0000, 0.0000, 6.4292]], "species": ["Na", "Na", "Na", "Na", "Na", "Na", "Na", "Na", "Na", "Na", "Na", "Na", "Na", "Na", "Na", "Na", "Na", "Na", "Na", "Na", "Na", "Na", "Na", "Na", "Na", "Na", "Na", "Na", "Na", "Na", "Na", "Na", "Na", "Na", "Na", "Na", "Na", "Na", "Na", "Na", "H", "H", "H", "H", "H", "H", "H", "H", "H", "H", "H", "H", "H", "H", "H", "H", "H", "H", "H", "H", "H", "H", "H", "H", "H", "H", "H", "H", "H", "H", "H", "H", "Br", "Br", "Br", "Br", "Br", "Br", "Br", "Br", "O", "O", "O", "O", "O", "O", "O", "O", "O", "O", "O", "O", "O", "O", "O", "O", "O", "O", "O", "O", "O", "O", "O", "O", "O", "O", "O", "O", "O", "O", "O", "O"], "fractional_positions": [[0.0000, 0.0000, 0.0000], [0.0000, 0.5000, 0.0000], [0.0106, 0.2500, 0.1484], [0.0459, 0.2500, 0.6103], [0.1063, 0.6257, 0.2273], [0.1063, 0.8743, 0.2273], [0.1509, 0.1249, 0.3644], [0.1509, 0.3751, 0.3644], [0.1932, 0.7500, 0.5418], [0.2354, 0.5038, 0.6208], [0.2354, 0.9962, 0.6208], [0.2646, 0.0038, 0.1208], [0.2646, 0.4962, 0.1208], [0.3068, 0.2500, 0.0418], [0.3491, 0.6249, 0.8644], [0.3491, 0.8751, 0.8644], [0.3937, 0.1257, 0.7273], [0.3937, 0.3743, 0.7273], [0.4541, 0.7500, 0.1103], [0.4894, 0.7500, 0.6484], [0.5000, 0.0000, 0.5000], [0.5000, 0.5000, 0.5000], [0.5106, 0.2500, 0.3516], [0.5459, 0.2500, 0.8897], [0.6063, 0.6257, 0.2727], [0.6063, 0.8743, 0.2727], [0.6509, 0.1249, 0.1356], [0.6509, 0.3751, 0.1356], [0.6932, 0.7500, 0.9582], [0.7354, 0.5038, 0.8792], [0.7354, 0.9962, 0.8792], [0.7646, 0.0038, 0.3792], [0.7646, 0.4962, 0.3792], [0.8068, 0.2500, 0.4582], [0.8491, 0.6249, 0.6356], [0.8491, 0.8751, 0.6356], [0.8937, 0.1257, 0.7727], [0.8937, 0.3743, 0.7727], [0.9541, 0.7500, 0.3897], [0.9894, 0.7500, 0.8516], [0.0182, 0.0060, 0.3766], [0.0182, 0.4940, 0.3766], [0.0645, 0.6129, 0.5848], [0.0645, 0.8871, 0.5848], [0.1252, 0.6135, 0.8306], [0.1252, 0.8865, 0.8306], [0.1920, 0.7500, 0.1443], [0.2339, 0.7500, 0.9005], [0.2661, 0.2500, 0.4005], [0.3080, 0.2500, 0.6443], [0.3748, 0.1135, 0.3306], [0.3748, 0.3865, 0.3306], [0.4355, 0.1129, 0.0848], [0.4355, 0.3871, 0.0848], [0.4818, 0.5060, 0.8766], [0.4818, 0.9940, 0.8766], [0.5182, 0.0060, 0.1234], [0.5182, 0.4940, 0.1234], [0.5645, 0.6129, 0.9152], [0.5645, 0.8871, 0.9152], [0.6252, 0.6135, 0.6694], [0.6252, 0.8865, 0.6694], [0.6920, 0.7500, 0.3557], [0.7339, 0.7500, 0.5995], [0.7661, 0.2500, 0.0995], [0.8080, 0.2500, 0.8557], [0.8748, 0.1135, 0.1694], [0.8748, 0.3865, 0.1694], [0.9355, 0.1129, 0.4152], [0.9355, 0.3871, 0.4152], [0.9818, 0.5060, 0.6234], [0.9818, 0.9940, 0.6234], [0.1484, 0.1315, 0.8744], [0.1484, 0.3685, 0.8744], [0.3516, 0.6315, 0.3744], [0.3516, 0.8685, 0.3744], [0.6484, 0.1315, 0.6256], [0.6484, 0.3685, 0.6256], [0.8516, 0.6315, 0.1256], [0.8516, 0.8685, 0.1256], [0.0455, 0.6645, 0.5937], [0.0455, 0.8355, 0.5937], [0.0994, 0.5030, 0.3441], [0.0994, 0.9970, 0.3441], [0.1079, 0.7500, 0.1529], [0.1613, 0.5723, 0.9035], [0.1613, 0.9277, 0.9035], [0.1880, 0.2500, 0.3429], [0.3120, 0.7500, 0.8429], [0.3387, 0.0723, 0.4035], [0.3387, 0.4277, 0.4035], [0.3921, 0.2500, 0.6529], [0.4006, 0.0030, 0.8441], [0.4006, 0.4970, 0.8441], [0.4545, 0.1645, 0.0937], [0.4545, 0.3355, 0.0937], [0.5455, 0.6645, 0.9063], [0.5455, 0.8355, 0.9063], [0.5994, 0.5030, 0.1559], [0.5994, 0.9970, 0.1559], [0.6079, 0.7500, 0.3471], [0.6613, 0.5723, 0.5965], [0.6613, 0.9277, 0.5965], [0.6880, 0.2500, 0.1571], [0.8120, 0.7500, 0.6571], [0.8387, 0.0723, 0.0965], [0.8387, 0.4277, 0.0965], [0.8921, 0.2500, 0.8471], [0.9006, 0.0030, 0.6559], [0.9006, 0.4970, 0.6559], [0.9545, 0.1645, 0.4063], [0.9545, 0.3355, 0.4063]], "dos_ef_per_ev_cell": 0.000, "sg": "No. 62", "total_magnetization_mub_per_fu": 0.0, "final_energy_ha_per_atom": -0.2630}


Entry 5:
{"formula": "NbH2Br", "functional": "meta-GGA SCAN", "state": "single point on PBEsol structure", "lattice_angstrom": [[0.0000, 2.8198, 2.8198], [2.8198, 0.0000, 2.8198], [2.8198, 2.8198, 0.0000]], "species": ["Nb", "H", "H", "Br"], "fractional_positions": [[0.0000, 0.0000, 0.0000], [0.2500, 0.2500, 0.2500], [0.7500, 0.7500, 0.7500], [0.5000, 0.5000, 0.5000]], "dos_ef_per_ev_cell": 1.348, "sg": "No. 225", "total_magnetization_mub_per_fu": 2.0, "final_energy_ha_per_atom": -0.5149}


Entry 6:
{"formula": "NbHBr2", "functional": "meta-GGA SCAN", "state": "single point on PBEsol structure", "lattice_angstrom": [[1.6661, 0.9619, 8.3994], [-1.6661, 0.9619, 8.3994], [0.0000, -1.9239, 8.3994]], "species": ["Nb", "H", "Br", "Br"], "fractional_positions": [[0.0000, 0.0000, 0.0000], [0.5000, 0.5000, 0.5000], [0.4061, 0.4061, 0.4061], [0.5939, 0.5939, 0.5939]], "dos_ef_per_ev_cell": 1.326, "sg": "No. 166", "total_magnetization_mub_per_fu": 0.8, "final_energy_ha_per_atom": -0.6902}


Entry 7:
{"formula": "NiH2Br", "functional": "meta-GGA SCAN", "state": "single point on PBEsol structure", "lattice_angstrom": [[0.0000, 3.5568, 3.5568], [3.5568, 0.0000, 3.5568], [3.5568, 3.5568, 0.0000]], "species": ["Ni", "Ni", "H", "H", "H", "H", "Br", "Br"], "fractional_positions": [[0.1250, 0.1250, 0.1250], [0.8750, 0.8750, 0.8750], [0.0000, 0.0000, 0.0000], [0.0000, 0.0000, 0.5000], [0.0000, 0.5000, 0.0000], [0.5000, 0.0000, 0.0000], [0.3750, 0.3750, 0.3750], [0.6250, 0.6250, 0.6250]], "dos_ef_per_ev_cell": 3.503, "sg": "No. 227", "total_magnetization_mub_per_fu": 0.0, "final_energy_ha_per_atom": -0.3762}


Entry 8:
{"formula": "YNiH2Br", "functional": "meta-GGA SCAN", "state": "single point on PBEsol structure", "lattice_angstrom": [[3.7967, 0.0000, 0.0000], [0.0000, 3.7967, 0.0000], [0.0000, 0.0000, 4.6242]], "species": ["Y", "Ni", "H", "H", "Br"], "fractional_positions": [[0.0000, 0.0000, 0.0000], [0.5000, 0.5000, 0.5000], [0.0000, 0.5000, 0.5000], [0.5000, 0.0000, 0.5000], [0.5000, 0.5000, 0.0000]], "dos_ef_per_ev_cell": 1.398, "sg": "No. 123", "total_magnetization_mub_per_fu": 0.0, "final_energy_ha_per_atom": -0.5215}


Entry 9:
{"formula": "PrH18Br3O18", "functional": "meta-GGA SCAN", "state": "single point on PBEsol structure", "lattice_angstrom": [[11.7594, 0.0000, 0.0000], [-5.8797, 10.1839, 0.0000], [0.0000, 0.0000, 6.5733]], "species": ["Pr", "Pr", "H", "H", "H", "H", "H", "H", "H", "H", "H", "H", "H", "H", "H", "H", "H", "H", "H", "H", "H", "H", "H", "H", "H", "H", "H", "H", "H", "H", "H", "H", "H", "H", "H", "H", "H", "H", "Br", "Br", "Br", "Br", "Br", "Br", "O", "O", "O", "O", "O", "O", "O", "O", "O", "O", "O", "O", "O", "O", "O", "O", "O", "O", "O", "O", "O", "O", "O", "O", "O", "O", "O", "O", "O", "O", "O", "O", "O", "O", "O", "O"], "fractional_positions": [[0.3333, 0.6667, 0.0000], [0.6667, 0.3333, 0.5000], [0.1139, 0.3664, 0.9880], [0.1139, 0.7475, 0.9880], [0.1200, 0.4918, 0.3197], [0.1200, 0.6282, 0.3197], [0.1229, 0.4939, 0.6672], [0.1229, 0.6290, 0.6672], [0.2525, 0.3664, 0.9880], [0.2525, 0.8861, 0.9880], [0.3664, 0.1139, 0.4880], [0.3664, 0.2525, 0.4880], [0.3710, 0.4939, 0.6672], [0.3710, 0.8771, 0.6672], [0.3718, 0.4918, 0.3197], [0.3718, 0.8800, 0.3197], [0.4918, 0.1200, 0.8197], [0.4918, 0.3718, 0.8197], [0.4939, 0.1229, 0.1672], [0.4939, 0.3710, 0.1672], [0.5061, 0.6290, 0.6672], [0.5061, 0.8771, 0.6672], [0.5082, 0.6282, 0.3197], [0.5082, 0.8800, 0.3197], [0.6282, 0.1200, 0.8197], [0.6282, 0.5082, 0.8197], [0.6290, 0.1229, 0.1672], [0.6290, 0.5061, 0.1672], [0.6336, 0.7475, 0.9880], [0.6336, 0.8861, 0.9880], [0.7475, 0.1139, 0.4880], [0.7475, 0.6336, 0.4880], [0.8771, 0.3710, 0.1672], [0.8771, 0.5061, 0.1672], [0.8800, 0.3718, 0.8197], [0.8800, 0.5082, 0.8197], [0.8861, 0.2525, 0.4880], [0.8861, 0.6336, 0.4880], [0.1296, 0.2592, 0.4809], [0.1296, 0.8704, 0.4809], [0.2592, 0.1296, 0.9809], [0.7408, 0.8704, 0.4809], [0.8704, 0.1296, 0.9809], [0.8704, 0.7408, 0.9809], [0.0658, 0.3609, 0.4915], [0.0658, 0.7049, 0.4915], [0.0919, 0.1837, 0.7031], [0.0919, 0.9081, 0.7031], [0.1511, 0.5756, 0.2447], [0.1531, 0.5765, 0.7451], [0.1837, 0.0919, 0.2031], [0.2089, 0.4179, 0.0197], [0.2089, 0.7911, 0.0197], [0.2951, 0.3609, 0.4915], [0.2951, 0.9342, 0.4915], [0.3609, 0.0658, 0.9915], [0.3609, 0.2951, 0.9915], [0.4179, 0.2089, 0.5197], [0.4235, 0.5765, 0.7451], [0.4235, 0.8469, 0.7451], [0.4244, 0.5756, 0.2447], [0.4244, 0.8489, 0.2447], [0.5756, 0.1511, 0.7447], [0.5756, 0.4244, 0.7447], [0.5765, 0.1531, 0.2451], [0.5765, 0.4235, 0.2451], [0.5821, 0.7911, 0.0197], [0.6391, 0.7049, 0.4915], [0.6391, 0.9342, 0.4915], [0.7049, 0.0658, 0.9915], [0.7049, 0.6391, 0.9915], [0.7911, 0.2089, 0.5197], [0.7911, 0.5821, 0.5197], [0.8163, 0.9081, 0.7031], [0.8469, 0.4235, 0.2451], [0.8489, 0.4244, 0.7447], [0.9081, 0.0919, 0.2031], [0.9081, 0.8163, 0.2031], [0.9342, 0.2951, 0.9915], [0.9342, 0.6391, 0.9915]], "dos_ef_per_ev_cell": 0.000, "sg": "No. 186", "total_magnetization_mub_per_fu": 0.0, "final_energy_ha_per_atom": -0.2879}


Entry 10:
{"formula": "Rb2HBrO", "functional": "meta-GGA SCAN", "state": "single point on PBEsol structure", "lattice_angstrom": [[6.8786, 0.0000, 0.0000], [0.0000, 4.4037, 0.0000], [-2.7831, 0.0000, 8.4227]], "species": ["Rb", "Rb", "Rb", "Rb", "H", "H", "Br", "Br", "O", "O"], "fractional_positions": [[0.2056, 0.2500, 0.3827], [0.2146, 0.2500, 0.9633], [0.7854, 0.7500, 0.0367], [0.7944, 0.7500, 0.6173], [0.3408, 0.7500, 0.2102], [0.6592, 0.2500, 0.7898], [0.3261, 0.7500, 0.6988], [0.6739, 0.2500, 0.3012], [0.1909, 0.7500, 0.1708], [0.8091, 0.2500, 0.8292]], "dos_ef_per_ev_cell": 0.000, "sg": "No. 11", "total_magnetization_mub_per_fu": 0.1, "final_energy_ha_per_atom": -0.5790}


Entry 11:
{"formula": "RbZnH2Se2BrO6", "functional": "meta-GGA SCAN", "state": "single point on PBEsol structure", "lattice_angstrom": [[6.4566, 0.0000, 0.0000], [0.0000, 6.1035, 0.0000], [-2.3215, 0.0000, 10.4975]], "species": ["Rb", "Rb", "Zn", "Zn", "H", "H", "H", "H", "Se", "Se", "Se", "Se", "Br", "Br", "O", "O", "O", "O", "O", "O", "O", "O", "O", "O", "O", "O"], "fractional_positions": [[0.0000, 0.1614, 0.2500], [0.0000, 0.8386, 0.7500], [0.5000, 0.4479, 0.7500], [0.5000, 0.5521, 0.2500], [0.0703, 0.3533, 0.5915], [0.0703, 0.6467, 0.0915], [0.9297, 0.3533, 0.9085], [0.9297, 0.6467, 0.4085], [0.2974, 0.3193, 0.9876], [0.2974, 0.6807, 0.4876], [0.7026, 0.3193, 0.5124], [0.7026, 0.6807, 0.0124], [0.5000, 0.0486, 0.7500], [0.5000, 0.9514, 0.2500], [0.0375, 0.2252, 0.9212], [0.0375, 0.7748, 0.4212], [0.2399, 0.4602, 0.1162], [0.2399, 0.5398, 0.6162], [0.3233, 0.4716, 0.3861], [0.3233, 0.5284, 0.8861], [0.6767, 0.4716, 0.1139], [0.6767, 0.5284, 0.6139], [0.7601, 0.4602, 0.3838], [0.7601, 0.5398, 0.8838], [0.9625, 0.2252, 0.5788], [0.9625, 0.7748, 0.0788]], "dos_ef_per_ev_cell": 0.000, "sg": "No. 13", "total_magnetization_mub_per_fu": 0.0, "final_energy_ha_per_atom": -0.4350}


Entry 12:
{"formula": "SnH10Br4O5", "functional": "meta-GGA SCAN", "state": "single point on PBEsol structure", "lattice_angstrom": [[6.4413, -4.9170, 0.0000], [6.4413, 4.9170, 0.0000], [-2.2443, 0.0000, 8.3465]], "species": ["Sn", "Sn", "H", "H", "H", "H", "H", "H", "H", "H", "H", "H", "H", "H", "H", "H", "H", "H", "H", "H", "H", "H", "Br", "Br", "Br", "Br", "Br", "Br", "Br", "Br", "O", "O", "O", "O", "O", "O", "O", "O", "O", "O"], "fractional_positions": [[0.2427, 0.7573, 0.7500], [0.7573, 0.2427, 0.2500], [0.0255, 0.1864, 0.5121], [0.0668, 0.3517, 0.7428], [0.1009, 0.7235, 0.2816], [0.1048, 0.1131, 0.3321], [0.1131, 0.1048, 0.8321], [0.1864, 0.0255, 0.0121], [0.2765, 0.8991, 0.2184], [0.3296, 0.6066, 0.1588], [0.3517, 0.0668, 0.2428], [0.3934, 0.6704, 0.3412], [0.6066, 0.3296, 0.6588], [0.6483, 0.9332, 0.7572], [0.6704, 0.3934, 0.8412], [0.7235, 0.1009, 0.7816], [0.8136, 0.9745, 0.9879], [0.8869, 0.8952, 0.1679], [0.8952, 0.8869, 0.6679], [0.8991, 0.2765, 0.7184], [0.9332, 0.6483, 0.2572], [0.9745, 0.8136, 0.4879], [0.0778, 0.6231, 0.9000], [0.2975, 0.4713, 0.5527], [0.3769, 0.9222, 0.6000], [0.4713, 0.2975, 0.0527], [0.5287, 0.7025, 0.9473], [0.6231, 0.0778, 0.4000], [0.7025, 0.5287, 0.4473], [0.9222, 0.3769, 0.1000], [0.0008, 0.1487, 0.3909], [0.0257, 0.2430, 0.7048], [0.1487, 0.0008, 0.8909], [0.2430, 0.0257, 0.2048], [0.3006, 0.6994, 0.2500], [0.6994, 0.3006, 0.7500], [0.7570, 0.9743, 0.7952], [0.8513, 0.9992, 0.1091], [0.9743, 0.7570, 0.2952], [0.9992, 0.8513, 0.6091]], "dos_ef_per_ev_cell": 0.000, "sg": "No. 15", "total_magnetization_mub_per_fu": 0.0, "final_energy_ha_per_atom": -0.3656}